Record 1
PBE Nd2MgSc, relaxed; energy above the most stable polymorph in this dataset = 19 meV/atom; energy of formation from the pure elements = 0.0 eV per formula unit; DOS at the Fermi energy = 1.20 states/eV per atom
1.0
0.0000 3.8891 3.8891
3.8891 0.0000 3.8891
3.8891 3.8891 0.0000
Nd Mg Sc
2 1 1
Direct
0.2500 0.2500 0.2500 Nd
0.7500 0.7500 0.7500 Nd
0.0000 0.0000 0.0000 Mg
0.5000 0.5000 0.5000 Sc

=====

Record 2
PBE NdMg6Sc, relaxed; energy above the most stable polymorph in this dataset = 6 meV/atom; energy of formation from the pure elements = -0.4 eV per formula unit; DOS at the Fermi energy = 1.13 states/eV per atom
1.0
4.6873 -4.6926 0.0000
4.6873 4.6926 0.0000
0.0000 0.0000 4.5323
Nd Mg Sc
1 6 1
Direct
0.0000 0.0000 0.0000 Nd
0.0000 0.5000 0.0000 Mg
0.2593 0.2593 0.5000 Mg
0.2589 0.7411 0.5000 Mg
0.5000 0.0000 0.0000 Mg
0.7411 0.2589 0.5000 Mg
0.7407 0.7407 0.5000 Mg
0.5000 0.5000 0.0000 Sc

=====

Record 3
PBE Nd6Mg5Sc, relaxed; energy of formation from the pure elements = -0.8 eV per formula unit; DOS at the Fermi energy = 1.18 states/eV per atom
1.0
5.5054 0.0000 0.0000
0.0000 7.7662 0.0000
-2.7469 0.0000 8.2781
Nd Mg Sc
6 5 1
Direct
0.0000 0.2474 0.0000 Nd
0.0000 0.7526 0.0000 Nd
0.3347 0.2512 0.6666 Nd
0.3347 0.7488 0.6666 Nd
0.6653 0.2512 0.3334 Nd
0.6653 0.7488 0.3334 Nd
0.1621 0.5000 0.3276 Mg
0.1663 0.0000 0.3356 Mg
0.5000 0.0000 0.0000 Mg
0.8337 0.0000 0.6644 Mg
0.8379 0.5000 0.6724 Mg
0.5000 0.5000 0.0000 Sc

=====

Record 4
PBE Nd3MgSc, relaxed; energy above the most stable polymorph in this dataset = 0 meV/atom; energy of formation from the pure elements = 0.4 eV per formula unit; DOS at the Fermi energy = 1.58 states/eV per atom
1.0
11.3091 -1.7455 0.0000
11.3091 1.7455 0.0000
-2.5543 0.0000 7.9755
Nd Mg Sc
6 2 2
Direct
0.0182 0.0182 0.2228 Nd
0.1782 0.1782 0.4476 Nd
0.3734 0.3734 0.9660 Nd
0.6266 0.6266 0.0340 Nd
0.8218 0.8218 0.5524 Nd
0.9818 0.9818 0.7772 Nd
0.4222 0.4222 0.3987 Mg
0.5778 0.5778 0.6013 Mg
0.2640 0.2640 0.1732 Sc
0.7360 0.7360 0.8268 Sc